Here is a geometry-optimized La6MgPb5 structure from Alexandria. Energies are from PBE.

Values from the calculation:
Density = 8.208 g/cm³
Final energy = -4.65 eV per atom
Magnetic moment = 0.08 μB/atom

Geometry as CIF:
```
data_La6MgPb5
_chemical_formula_sum 'La12 Mg2 Pb10'
_cell_length_a 5.956
_cell_length_b 7.162
_cell_length_c 17.962
_cell_angle_alpha 90.00
_cell_angle_beta 90.00
_cell_angle_gamma 90.00
_space_group_name_H-M_alt 'I m m m'
_space_group_IT_number 71
_space_group_name_Hall '-I 2 2'
loop_
_atom_site_label
_atom_site_type_symbol
_atom_site_fract_x
_atom_site_fract_y
_atom_site_fract_z
_atom_site_occupancy
La1 La 0.000 0.229 0.000 1
La2 La 0.000 0.259 0.329 1
Mg1 Mg 0.000 0.000 0.500 1
Pb1 Pb 0.000 0.000 0.169 1
Pb2 Pb 0.000 0.500 0.156 1
Pb3 Pb 0.000 0.500 0.500 1
```

Here is a geometry-optimized CdRe2As structure from Alexandria. Energies are from PBE.

Values from the calculation:
Density = 14.640 g/cm³
Final energy = -6.77 eV per atom
Magnetic moment = 0.00 μB/atom

Geometry as CIF:
```
data_CdRe2As
_chemical_formula_sum 'Cd4 Re8 As4'
_cell_length_a 6.333
_cell_length_b 6.333
_cell_length_c 6.333
_cell_angle_alpha 90.00
_cell_angle_beta 90.00
_cell_angle_gamma 90.00
_space_group_name_H-M_alt 'F m -3 m'
_space_group_IT_number 225
_space_group_name_Hall '-F 4 2 3'
loop_
_atom_site_label
_atom_site_type_symbol
_atom_site_fract_x
_atom_site_fract_y
_atom_site_fract_z
_atom_site_occupancy
Cd1 Cd 0.000 0.000 0.000 1
Re1 Re 0.250 0.250 0.250 1
As1 As 0.000 0.000 0.500 1
```

Here is a geometry-optimized TbPrSm6Tm2 structure from Alexandria. Energies are from PBE.

Values from the calculation:
Density = 7.633 g/cm³
Final energy = -4.55 eV per atom
Magnetic moment = 0.00 μB/atom

Geometry as CIF:
```
data_TbPrSm6Tm2
_chemical_formula_sum 'Tb4 Pr4 Sm24 Tm8'
_cell_length_a 9.240
_cell_length_b 15.144
_cell_length_c 9.660
_cell_angle_alpha 90.00
_cell_angle_beta 97.61
_cell_angle_gamma 90.00
_space_group_name_H-M_alt 'C 1 2/c 1'
_space_group_IT_number 15
_space_group_name_Hall '-C 2yc'
loop_
_atom_site_label
_atom_site_type_symbol
_atom_site_fract_x
_atom_site_fract_y
_atom_site_fract_z
_atom_site_occupancy
Tb1 Tb 0.000 0.030 0.250 1
Pr1 Pr 0.000 0.406 0.750 1
Sm1 Sm 0.065 0.177 0.945 1
Sm2 Sm 0.097 0.392 0.120 1
Sm3 Sm 0.208 0.227 0.318 1
Tm1 Tm 0.245 0.049 0.547 1
```